TcMoRu2 (PBE, relaxed); spin magnetization = 0.00 μB/f.u.; density = 11.30 g/cm3; energy of formation from the pure elements = 0.0302 eV per atom
1.0
3.8847 0.0000 0.0000
0.0000 3.8847 0.0000
0.0000 0.0000 3.8560
Tc Mo Ru
1 1 2
direct
0.5000 0.0000 0.5000
0.0000 0.5000 0.5000
0.0000 0.0000 0.0000
0.5000 0.5000 0.0000